Record 1
Here is a geometry-optimized VIn2Ag structure from Alexandria. Energies are from GGA-PBE.

Lattice parameters (Å, degrees): 4.820 4.820 4.820 60.00 60.00 60.00
Positions (direct):
V (0.000, 0.000, 0.000)
In (0.250, 0.250, 0.250)
In (0.750, 0.750, 0.750)
Ag (0.500, 0.500, 0.500)

Excess energy over the best structure of this formula in the dataset: 0.0 meV per atom
Space group: Fm-3m
V: 79 Å³ per cell

Record 2
Here is a geometry-optimized DyCdPd5 structure from Alexandria. Energies are from GGA-PBE.

Lattice parameters (Å, degrees): 5.753 5.753 5.753 124.28 106.31 98.97
Positions (direct):
Dy (0.000, 0.000, 0.000)
Cd (0.349, 0.849, 0.500)
Pd (0.209, 0.521, 0.688)
Pd (0.342, 0.342, 0.000)
Pd (0.688, 0.432, 0.744)
Pd (0.688, 0.943, 0.256)
Pd (0.833, 0.521, 0.312)

Space group: Imm2
V: 139 Å³ per cell
Energy: -4.719 eV per atom

Record 3
Here is a geometry-optimized NaPdCl structure from Alexandria. Energies are from GGA-PBE.

Lattice parameters (Å, degrees): 10.419 10.419 3.551 95.96 95.96 19.16
Positions (direct):
Na (0.000, 0.000, 0.000)
Na (0.172, 0.172, 0.612)
Pd (0.387, 0.387, 0.446)
Pd (0.842, 0.842, 0.912)
Cl (0.563, 0.563, 0.537)
Cl (0.730, 0.730, 0.146)

Excess energy over the best structure of this formula in the dataset: 0.0 meV per atom
Space group: Cm
V: 126 Å³ per cell

Record 4
Here is a geometry-optimized SrBeInCl2 structure from Alexandria. Energies are from GGA-PBE.

Lattice parameters (Å, degrees): 5.552 5.552 5.282 90.00 90.00 90.00
Positions (direct):
Sr (0.000, 0.000, 0.000)
Be (0.500, 0.500, 0.000)
In (0.500, 0.500, 0.500)
Cl (0.000, 0.500, 0.500)
Cl (0.500, 0.000, 0.500)

Space group: P4/mmm
V: 163 Å³ per cell
Energy: -2.748 eV per atom

Record 5
Here is a geometry-optimized TcTe3 structure from Alexandria. Energies are from GGA-PBE.

Lattice parameters (Å, degrees): 3.451 3.451 10.370 90.00 90.00 120.00
Positions (direct):
Tc (0.000, 0.000, 0.000)
Te (0.000, 0.000, 0.500)
Te (0.667, 0.333, 0.176)
Te (0.667, 0.333, 0.824)

Excess energy over the best structure of this formula in the dataset: 22.4 meV per atom
Space group: P-6m2
V: 107 Å³ per cell

Record 6
Here is a geometry-optimized FeMo2Pt2 structure from Alexandria. Energies are from GGA-PBE.

Lattice parameters (Å, degrees): 4.793 4.793 6.200 129.82 129.82 46.91
Positions (direct):
Fe (0.000, 0.000, 0.000)
Mo (0.209, 0.209, 0.810)
Mo (0.791, 0.791, 0.190)
Pt (0.406, 0.406, 0.614)
Pt (0.594, 0.594, 0.386)

Space group: C2/m
V: 74 Å³ per cell
Energy: -8.587 eV per atom

Record 7
Here is a geometry-optimized Li2CaMn structure from Alexandria. Energies are from GGA-PBE.

Lattice parameters (Å, degrees): 5.775 5.775 5.004 115.28 115.28 38.01
Positions (direct):
Li (0.228, 0.228, 0.227)
Li (0.772, 0.772, 0.773)
Ca (0.000, 0.000, 0.500)
Mn (0.500, 0.500, 0.000)

Excess energy over the best structure of this formula in the dataset: 29.8 meV per atom
Space group: C2/m
V: 92 Å³ per cell

Record 8
Here is a geometry-optimized LiCaEuMg structure from Alexandria. Energies are from GGA-PBE.

Lattice parameters (Å, degrees): 5.657 5.657 5.657 60.00 60.00 60.00
Positions (direct):
Li (0.000, 0.000, 0.000)
Ca (0.250, 0.250, 0.250)
Eu (0.750, 0.750, 0.750)
Mg (0.500, 0.500, 0.500)

Space group: F-43m
V: 128 Å³ per cell
Energy: -3.966 eV per atom

Record 9
Here is a geometry-optimized PrCrSb3 structure from Alexandria. Energies are from GGA-PBE.

Lattice parameters (Å, degrees): 13.176 6.277 6.143 90.00 90.00 90.00
Positions (direct):
Pr (0.191, 0.005, 0.250)
Pr (0.191, 0.495, 0.750)
Pr (0.809, 0.505, 0.250)
Pr (0.809, 0.995, 0.750)
Cr (0.407, 0.750, 0.000)
Cr (0.407, 0.750, 0.500)
Cr (0.593, 0.250, 0.000)
Cr (0.593, 0.250, 0.500)
Sb (0.002, 0.750, 0.000)
Sb (0.002, 0.750, 0.500)
Sb (0.282, 0.501, 0.250)
Sb (0.282, 0.999, 0.750)
Sb (0.438, 0.100, 0.250)
Sb (0.438, 0.400, 0.750)
Sb (0.562, 0.600, 0.250)
Sb (0.562, 0.900, 0.750)
Sb (0.718, 0.001, 0.250)
Sb (0.718, 0.499, 0.750)
Sb (0.998, 0.250, 0.000)
Sb (0.998, 0.250, 0.500)

Space group: Pbcm
V: 508 Å³ per cell
Energy: -5.823 eV per atom

Record 10
Here is a geometry-optimized CdSiPt2 structure from Alexandria. Energies are from GGA-PBE.

Lattice parameters (Å, degrees): 4.510 4.510 4.510 60.00 60.00 60.00
Positions (direct):
Cd (0.000, 0.000, 0.000)
Si (0.500, 0.500, 0.500)
Pt (0.250, 0.250, 0.250)
Pt (0.750, 0.750, 0.750)

Space group: Fm-3m
V: 65 Å³ per cell
Energy: -4.786 eV per atom

Record 11
Here is a geometry-optimized Y2ZrCu structure from Alexandria. Energies are from GGA-PBE.

Lattice parameters (Å, degrees): 9.967 9.967 9.967 19.82 19.82 19.82
Positions (direct):
Y (0.241, 0.241, 0.241)
Y (0.759, 0.759, 0.759)
Zr (0.000, 0.000, 0.000)
Cu (0.500, 0.500, 0.500)

Excess energy over the best structure of this formula in the dataset: 161.5 meV per atom
Space group: R-3m
V: 100 Å³ per cell

Record 12
Here is a geometry-optimized Er3ScZn2 structure from Alexandria. Energies are from GGA-PBE.

Lattice parameters (Å, degrees): 3.510 3.510 11.712 90.00 90.00 90.00
Positions (direct):
Er (0.000, 0.000, 0.000)
Er (0.000, 0.000, 0.301)
Er (0.000, 0.000, 0.699)
Sc (0.500, 0.500, 0.500)
Zn (0.500, 0.500, 0.151)
Zn (0.500, 0.500, 0.849)

Excess energy over the best structure of this formula in the dataset: 24.5 meV per atom
Space group: P4/mmm
V: 144 Å³ per cell

no.,density of states at the Fermi level (states/eV/f.u.),spin magnetization (μB/f.u.)
1,2.45,2.89
2,3.97,0.00
3,0.02,0.00
4,2.43,0.00
5,3.50,0.43
6,5.50,1.86
7,3.42,3.94
8,10.95,7.51
9,3.01,2.34
10,1.97,0.00
11,3.26,0.00
12,6.74,0.00